Here is an optimized crystal structure of SrTaNi from Alexandria via LeMat-Bulk. Energies are from GGA-PBE.

The space group is F-43m (No. 216) and the conventional cell measures 6.5334, 6.5334 and 6.5334 Å, with angles of 90.00, 90.00 and 90.00 degrees. Symmetry generates all atoms from Sr at (0.0000, 0.0000, 0.0000), Ta at (0.2500, 0.2500, 0.7500) and Ni at (0.2500, 0.2500, 0.2500).

The relative energy among the computed polymorphs comes out at 1790 meV per atom. The value obtained for the total energy is -4.330 eV per atom. As for the density of states at the Fermi level: 0.953 states/eV/atom. The calculation puts the formation energy at 2.108 eV/atom.

=====

Here is an optimized crystal structure of Sr2TaNi from Alexandria via LeMat-Bulk. Energies are from GGA-PBE.

The space group is Pmmm (No. 47) and the conventional cell measures 3.9734, 4.9381 and 5.0254 Å, with angles of 90.00, 90.00 and 90.00 degrees. Symmetry generates all atoms from Sr at (0.0000, 0.0000, 0.0000), Sr at (0.5000, 0.5000, 0.0000), Ta at (0.0000, 0.5000, 0.5000) and Ni at (0.5000, 0.0000, 0.5000).

The relative energy among the computed polymorphs comes out at 720 meV per atom. The value obtained for the total energy is -4.180 eV per atom. As for the density of states at the Fermi level: 1.165 states/eV/atom. The calculation puts the formation energy at 1.070 eV/atom.

=====

Here is an optimized crystal structure of Sr2TaNi from Alexandria via LeMat-Bulk. Energies are from GGA-PBE.

The space group is I4/mmm (No. 139) and the conventional cell measures 4.5214, 4.5214 and 9.8713 Å, with angles of 90.00, 90.00 and 90.00 degrees. Symmetry generates all atoms from Sr at (0.0000, 0.5000, 0.2500), Ta at (0.0000, 0.0000, 0.0000) and Ni at (0.0000, 0.0000, 0.5000).

The relative energy among the computed polymorphs comes out at 729 meV per atom. The value obtained for the total energy is -4.171 eV per atom. As for the density of states at the Fermi level: 1.685 states/eV/atom. The calculation puts the formation energy at 1.078 eV/atom.

=====

Here is an optimized crystal structure of SrTaNi3 from Alexandria via LeMat-Bulk. Energies are from GGA-PBE.

The space group is Pm-3m (No. 221) and the conventional cell measures 4.7072, 4.7072 and 4.7072 Å, with angles of 90.00, 90.00 and 90.00 degrees. Symmetry generates all atoms from Sr at (0.0000, 0.0000, 0.0000), Ta at (0.5000, 0.5000, 0.5000) and Ni at (0.0000, 0.5000, 0.5000).

The relative energy among the computed polymorphs comes out at 0 meV per atom. The value obtained for the total energy is -5.632 eV per atom. As for the density of states at the Fermi level: 0.840 states/eV/atom. The calculation puts the formation energy at 0.543 eV/atom.

=====

> Which of these has the lowest relative energy among the computed polymorphs?

SrTaNi3

=====

> Among the records above, which one has the highest relative energy among the computed polymorphs?

SrTaNi

=====

> The highest relative energy among the computed polymorphs belongs to which entry?

SrTaNi

=====

> Look up the relative energy among the computed polymorphs of the second one.

720 meV per atom